A relaxed YCr2GaO6 crystal, computed with PBE+U.

The structure belongs to space group R3 (No. 146, hexagonal axes); the cell edges are 5.2735, 5.2735 and 13.8959 Å and the angles 90.00°, 90.00° and 120.00°. The inequivalent atoms are Y at (0.0000, 0.0000, 0.0000), Cr at (0.0000, 0.0000, 0.2180), Cr at (0.0000, 0.0000, 0.7228), Ga at (0.0000, 0.0000, 0.5167), O at (0.0260, 0.3490, 0.7946) and O at (0.0762, 0.7164, 0.2887).

The density of states at the Fermi level is 0.00 states/eV per cell. For the calculated total energy, the calculation gives -230.98 eV per cell. For the magnetization, the calculation gives 6.0 μB/f.u.